Entry 1:
The following is a GGA-PBEsol calculation of an optimized crystal structure of K2TcH9, from Alexandria.

Cell lengths 9.2747, 9.2747, 5.3827 Å; angles 90.00, 90.00, 120.00 degrees
Space group P-62m (No. 189)
Asymmetric unit:
K (0.0000, 0.4078, 0.0000) [3 per cell]
K (0.0000, 0.7368, 0.5000) [3 per cell]
Tc (0.0000, 0.0000, 0.0000) [1 per cell]
Tc (0.3333, 0.6667, 0.5000) [2 per cell]
H (0.0000, 0.1294, 0.2176) [6 per cell]
H (0.0000, 0.8210, 0.0000) [3 per cell]
H (0.1385, 0.5097, 0.5000) [6 per cell]
H (0.2242, 0.6941, 0.2733) [12 per cell]



Entry 2:
The following is a GGA-PBEsol calculation of an optimized crystal structure of KTe3H, from Alexandria.

Cell lengths 4.9138, 4.9138, 4.9138 Å; angles 90.00, 90.00, 90.00 degrees
Space group Pm-3m (No. 221)
Asymmetric unit:
K (0.0000, 0.0000, 0.0000) [1 per cell]
Te (0.0000, 0.5000, 0.5000) [3 per cell]
H (0.5000, 0.5000, 0.5000) [1 per cell]



Entry 3:
The following is a GGA-PBEsol calculation of an optimized crystal structure of KTeH, from Alexandria.

Cell lengths 5.6061, 5.6082, 6.0930 Å; angles 87.74, 87.73, 60.88 degrees
Space group P1 (No. 1)
Asymmetric unit:
K (0.0000, 0.0000, 0.0000) [1 per cell]
K (0.3172, 0.3161, 0.4964) [1 per cell]
Te (0.6334, 0.6337, 0.7292) [1 per cell]
Te (0.6773, 0.6759, 0.2599) [1 per cell]
H (0.0924, 0.9560, 0.4923) [1 per cell]
H (0.9561, 0.0930, 0.4916) [1 per cell]



no.,total magnetic moment (μB per atom),total DFT energy (no corrections) (eV/f.u.)
1,0.0000,-46.267
2,0.0001,-14.533
3,0.0000,-9.543